(1)
Computed, not measured: an optimized crystal structure of KLiIr2 at the GGA-PBEsol level of DFT.

Calculated values
* N(E_F): 2.7 states/eV/f.u.
* calculated density: 10.9 g cm⁻³
* E_tot: -20.8 eV/cell
* energy of formation from the pure elements: 494 meV/atom

Lattice parameters (Å, degrees): 2.740 4.618 5.170 90.00 90.00 90.00
Space group Pmmm (No. 47)
Asymmetric unit:
K 0.000 0.000 0.000 [1 per cell]
Li 0.500 0.500 0.000 [1 per cell]
Ir 0.000 0.500 0.500 [1 per cell]
Ir 0.500 0.000 0.500 [1 per cell]



(2)
Computed, not measured: an optimized crystal structure of K3LiIrO4 at the GGA-PBEsol level of DFT.

Calculated values
* N(E_F): 0.6 states/eV/f.u.
* calculated density: 4.3 g cm⁻³
* E_tot: -192.5 eV/cell
* energy relative to the elements, uncorrected: -1326 meV per atom

Lattice parameters (Å, degrees): 10.653 9.619 5.866 90.00 104.17 90.00
Space group C2/c (No. 15)
Asymmetric unit:
K 0.000 0.096 0.250 [4 per cell]
K 0.155 0.411 0.475 [8 per cell]
Li 0.000 0.232 0.750 [4 per cell]
Ir 0.250 0.250 0.000 [4 per cell]
O 0.088 0.324 0.032 [8 per cell]
O 0.157 0.137 0.743 [8 per cell]